# 1
Crystalline Mn3AgH at its relaxed geometry. Source: Alexandria via LeMat-Bulk, functional PBE.

Lattice parameters (Å, degrees): 5.0159 5.0159 5.0159 90.00 90.00 90.00
Positions (direct):
1 H 0.5000 0.5000 0.5000
2 Mn 0.0000 0.5000 0.0000
3 Mn 0.0000 0.0000 0.5000
4 Mn 0.5000 0.0000 0.0000
5 Ag 0.0000 0.0000 0.0000

Results
ρ = 3.601 g cm⁻³
Total energy = -25.8 eV/f.u.
Total magnetization = 13.79 Bohr magnetons per cell
Energy relative to the lowest polymorph listed for this composition = 1101.9 meV/atom
Space group = Pm-3m

=====

# 2
Crystalline CaOs2Ru at its relaxed geometry. Source: Alexandria via LeMat-Bulk, functional PBE.

Lattice parameters (Å, degrees): 4.2815 3.9033 3.9033 90.00 90.00 90.00
Positions (direct):
1 Ru 0.5000 0.5000 0.0000
2 Ca 0.5000 0.0000 0.5000
3 Os 0.0000 0.0000 0.0000
4 Os 0.0000 0.5000 0.5000

Results
ρ = 13.278 g cm⁻³
Total energy = -30.6 eV/f.u.
Total magnetization = 0.11 Bohr magnetons per cell
Energy relative to the lowest polymorph listed for this composition = 381.1 meV/atom
Space group = P4/mmm

=====

# 3
Crystalline Nb2SiSe at its relaxed geometry. Source: Alexandria via LeMat-Bulk, functional PBE.

Lattice parameters (Å, degrees): 5.6369 5.6369 7.2293 67.05 67.05 90.00
Positions (direct):
1 Nb 0.6126 0.1250 0.2500
2 Nb 0.1374 0.6250 0.2500
3 Nb 0.3750 0.3874 0.7500
4 Nb 0.8750 0.8626 0.7500
5 Si 0.5000 0.5000 0.0000
6 Si 0.2500 0.7500 0.5000
7 Se 0.0000 0.0000 0.0000
8 Se 0.7500 0.2500 0.5000

Results
Formation energy without anion corrections = 1.65 eV/f.u.
ρ = 5.075 g cm⁻³
Total energy = -27.4 eV/f.u.
Total magnetization = 0.00 Bohr magnetons per cell
Energy relative to the lowest polymorph listed for this composition = 707.6 meV/atom
Space group = I-42d

=====

# 4
Crystalline YCo2BW at its relaxed geometry. Source: Alexandria via LeMat-Bulk, functional PBE.

Lattice parameters (Å, degrees): 4.3752 5.5172 4.3752 90.00 90.00 90.00
Positions (direct):
1 Y 0.0000 0.5000 0.0000
2 B 0.5000 0.5000 0.5000
3 Co 0.0000 0.0000 0.5000
4 Co 0.5000 0.0000 0.0000
5 W 0.0000 0.0000 0.0000

Results
ρ = 6.312 g cm⁻³
Total energy = -31.2 eV/f.u.
Total magnetization = 0.66 Bohr magnetons per cell
Space group = P4/mmm